# 1
Here is crystalline In5Cu4 at its relaxed geometry from Alexandria. Energies are from GGA-PBE.

The relative energy among the computed polymorphs is 0 meV/atom. Its space-group type is No. 193. The energy of formation comes out at 0.18 eV/atom. For the theoretical density, the calculation gives 7.88 g/cm³.

Unit cell a=8.1183 b=8.1183 c=6.1198 alpha=90.00 beta=90.00 gamma=120.00
With the nearest neighbours (Å) after each atom.
Sites, in units of the cell vectors:
1 In 0.0000 0.2823 0.2500  5 Cu 2.74-2.77
2 In 0.0000 0.7177 0.7500  5 Cu 2.74-2.77
3 In 0.2823 0.0000 0.2500  5 Cu 2.74-2.77
4 In 0.2823 0.2823 0.7500  5 Cu 2.74-2.77
5 In 0.3333 0.6667 0.0000  6 Cu 2.96, 8 In 3.06-3.31
6 In 0.3333 0.6667 0.5000  6 Cu 2.96, 8 In 3.06-3.31
7 In 0.6667 0.3333 0.0000  6 Cu 2.96, 8 In 3.06-3.31
8 In 0.6667 0.3333 0.5000  6 Cu 2.96, 8 In 3.06-3.31
9 In 0.7177 0.0000 0.7500  5 Cu 2.74-2.77
10 In 0.7177 0.7177 0.2500  5 Cu 2.74-2.77
11 Cu 0.0000 0.0000 0.0000  6 In 2.76, 2 Cu 3.06
12 Cu 0.0000 0.0000 0.5000  6 In 2.76, 2 Cu 3.06
13 Cu 0.0000 0.3796 0.7500  7 In 2.74-2.96
14 Cu 0.0000 0.6204 0.2500  7 In 2.74-2.96
15 Cu 0.3796 0.0000 0.7500  7 In 2.74-2.96
16 Cu 0.3796 0.3796 0.2500  7 In 2.74-2.96
17 Cu 0.6204 0.0000 0.2500  7 In 2.74-2.96
18 Cu 0.6204 0.6204 0.7500  7 In 2.74-2.96



# 2
Here is crystalline PmErMg4 at its relaxed geometry from Alexandria. Energies are from GGA-PBE.

The relative energy among the computed polymorphs is 1 meV/atom. Its space-group type is No. 216. The energy of formation comes out at -0.08 eV/atom. For the theoretical density, the calculation gives 4.33 g/cm³.

Unit cell a=6.0561 b=6.0561 c=6.0561 alpha=60.00 beta=60.00 gamma=60.00
With the nearest neighbours (Å) after each atom.
Sites, in units of the cell vectors:
1 Pm 0.0000 0.0000 0.0000  12 Mg 3.55, 4 Er 3.71
2 Er 0.2500 0.2500 0.2500  12 Mg 3.55, 4 Pm 3.71
3 Mg 0.1252 0.6249 0.6249  6 Mg 3.03
4 Mg 0.6249 0.1252 0.6249  6 Mg 3.03
5 Mg 0.6249 0.6249 0.1252  6 Mg 3.03
6 Mg 0.6249 0.6249 0.6249  6 Mg 3.03



Among the records above, which one has the highest theoretical density?
In5Cu4



Among the records above, which one has the lowest energy of formation?
PmErMg4



The lowest relative energy among the computed polymorphs belongs to which entry?
In5Cu4



relative energy among the computed polymorphs of number 2 (PmErMg4)?
1 meV/atom